# BaHg2IrPd | Alexandria via LeMat-Bulk | PBE | optimized geometry
data_BaHg2IrPd
_chemical_formula_sum 'Ba1 Hg2 Ir1 Pd1'
_space_group_name_H-M_alt 'P 4/m m m'
_space_group_IT_number 123
_space_group_name_Hall '-P 4 2'
_cell_length_a 5.178
_cell_length_b 5.178
_cell_length_c 5.995
_cell_angle_alpha 90.00
_cell_angle_beta 90.00
_cell_angle_gamma 90.00
loop_
_atom_site_label
_atom_site_type_symbol
_atom_site_fract_x
_atom_site_fract_y
_atom_site_fract_z
Ba1 Ba 0.000 0.000 0.000
Hg1 Hg 0.000 0.500 0.500
Ir1 Ir 0.500 0.500 0.000
Pd1 Pd 0.000 0.000 0.500
# Magnetic moment   1.4 μB per formula unit
# Calculated formation energy   0.548 eV/atom